## w
# NbV4Re GGA-PBE optimized geometry
data_NbV4Re
_chemical_formula_sum 'Nb2 V8 Re2'
_cell_length_a 4.314
_cell_length_b 5.130
_cell_length_c 9.018
_cell_angle_alpha 93.14
_cell_angle_beta 103.54
_cell_angle_gamma 114.78
_symmetry_space_group_name_H-M 'P -1'
_symmetry_Int_Tables_number 2
_symmetry_space_group_name_Hall '-P 1'
loop_
_atom_site_label
_atom_site_type_symbol
_atom_site_fract_x
_atom_site_fract_y
_atom_site_fract_z
Nb1 Nb 0.167 0.040 0.293
V1 V 0.162 0.780 0.543
V2 V 0.170 0.299 0.041
V3 V 0.499 0.118 0.880
V4 V 0.499 0.625 0.373
Re1 Re 0.168 0.543 0.795
# Calculated volume: 14.5 Å³ per atom
# Theoretical density: 9.2 g/cm³


## x
# NbV4Re GGA-PBE optimized geometry
data_NbV4Re
_chemical_formula_sum 'Nb4 V16 Re4'
_cell_length_a 7.028
_cell_length_b 7.028
_cell_length_c 7.028
_cell_angle_alpha 90.00
_cell_angle_beta 90.00
_cell_angle_gamma 90.00
_symmetry_space_group_name_H-M 'F -4 3 m'
_symmetry_Int_Tables_number 216
_symmetry_space_group_name_Hall 'F -4 2 3'
loop_
_atom_site_label
_atom_site_type_symbol
_atom_site_fract_x
_atom_site_fract_y
_atom_site_fract_z
Nb1 Nb 0.000 0.000 0.000
V1 V 0.125 0.125 0.375
Re1 Re 0.250 0.250 0.750
# Calculated volume: 14.5 Å³ per atom
# Theoretical density: 9.2 g/cm³


Least stable = x


## w
# Nb3V8Re GGA-PBE optimized geometry
data_Nb3V8Re
_chemical_formula_sum 'Nb3 V8 Re1'
_cell_length_a 5.0448
_cell_length_b 5.0448
_cell_length_c 8.1037
_cell_angle_alpha 90.00
_cell_angle_beta 90.00
_cell_angle_gamma 120.00
_symmetry_space_group_name_H-M 'P 3 m 1'
_symmetry_Int_Tables_number 156
_symmetry_space_group_name_Hall 'P 3 -2"'
loop_
_atom_site_label
_atom_site_type_symbol
_atom_site_fract_x
_atom_site_fract_y
_atom_site_fract_z
Nb1 Nb 0.0000 0.0000 0.0000
Nb2 Nb 0.0000 0.0000 0.3803
Nb3 Nb 0.3333 0.6667 0.8745
V1 V 0.0056 0.5028 0.1938
V2 V 0.3283 0.1642 0.6848
V3 V 0.6667 0.3333 0.4400
V4 V 0.6667 0.3333 0.9380
Re1 Re 0.3333 0.6667 0.4988
# Calculated volume: 14.9 Å³ per atom
# Theoretical density: 8.1 g/cm³


## x
# Nb3V8Re GGA-PBE optimized geometry
data_Nb3V8Re
_chemical_formula_sum 'Nb9 V24 Re3'
_cell_length_a 5.0178
_cell_length_b 5.0178
_cell_length_c 24.5959
_cell_angle_alpha 90.00
_cell_angle_beta 90.00
_cell_angle_gamma 120.00
_symmetry_space_group_name_H-M 'R 3 m'
_symmetry_Int_Tables_number 160
_symmetry_space_group_name_Hall 'R 3 -2"'
loop_
_atom_site_label
_atom_site_type_symbol
_atom_site_fract_x
_atom_site_fract_y
_atom_site_fract_z
Nb1 Nb 0.0000 0.0000 0.0000
Nb2 Nb 0.0000 0.0000 0.1259
Nb3 Nb 0.0000 0.0000 0.6243
V1 V 0.0000 0.0000 0.3122
V2 V 0.0000 0.0000 0.8130
V3 V 0.0012 0.5006 0.0640
V4 V 0.1671 0.3341 0.8946
Re1 Re 0.0000 0.0000 0.5001
# Calculated volume: 14.9 Å³ per atom
# Theoretical density: 8.1 g/cm³


Least stable = w


## w
# Nb4VRe GGA-PBE optimized geometry
data_Nb4VRe
_chemical_formula_sum 'Nb4 V1 Re1'
_cell_length_a 4.383
_cell_length_b 4.383
_cell_length_c 6.141
_cell_angle_alpha 90.00
_cell_angle_beta 90.00
_cell_angle_gamma 90.00
_symmetry_space_group_name_H-M 'P 4/m m m'
_symmetry_Int_Tables_number 123
_symmetry_space_group_name_Hall '-P 4 2'
loop_
_atom_site_label
_atom_site_type_symbol
_atom_site_fract_x
_atom_site_fract_y
_atom_site_fract_z
Nb1 Nb 0.000 0.500 0.245
V1 V 0.000 0.000 0.000
Re1 Re 0.500 0.500 0.500
# Calculated volume: 19.7 Å³ per atom
# Theoretical density: 8.6 g/cm³


## x
# Nb4VRe GGA-PBE optimized geometry
data_Nb4VRe
_chemical_formula_sum 'Nb4 V1 Re1'
_cell_length_a 3.218
_cell_length_b 3.218
_cell_length_c 9.788
_cell_angle_alpha 90.00
_cell_angle_beta 90.00
_cell_angle_gamma 90.00
_symmetry_space_group_name_H-M 'P 4/m m m'
_symmetry_Int_Tables_number 123
_symmetry_space_group_name_Hall '-P 4 2'
loop_
_atom_site_label
_atom_site_type_symbol
_atom_site_fract_x
_atom_site_fract_y
_atom_site_fract_z
Nb1 Nb 0.000 0.000 0.159
Nb2 Nb 0.500 0.500 0.337
V1 V 0.500 0.500 0.000
Re1 Re 0.000 0.000 0.500
# Calculated volume: 16.9 Å³ per atom
# Theoretical density: 10.0 g/cm³


Least stable = w


## w
# NbV3Re GGA-PBE optimized geometry
data_NbV3Re
_chemical_formula_sum 'Nb4 V12 Re4'
_cell_length_a 12.871
_cell_length_b 4.305
_cell_length_c 5.338
_cell_angle_alpha 90.00
_cell_angle_beta 98.76
_cell_angle_gamma 90.00
_symmetry_space_group_name_H-M 'C 1 2/m 1'
_symmetry_Int_Tables_number 12
_symmetry_space_group_name_Hall '-C 2y'
loop_
_atom_site_label
_atom_site_type_symbol
_atom_site_fract_x
_atom_site_fract_y
_atom_site_fract_z
Nb1 Nb 0.198 0.000 0.149
V1 V 0.001 0.000 0.749
V2 V 0.096 0.500 0.949
V3 V 0.196 0.000 0.644
Re1 Re 0.098 0.500 0.451
# Calculated volume: 14.6 Å³ per atom
# Theoretical density: 9.8 g/cm³


## x
# NbV3Re GGA-PBE optimized geometry
data_NbV3Re
_chemical_formula_sum 'Nb1 V3 Re1'
_cell_length_a 4.546
_cell_length_b 4.546
_cell_length_c 4.546
_cell_angle_alpha 90.00
_cell_angle_beta 90.00
_cell_angle_gamma 90.00
_symmetry_space_group_name_H-M 'P m -3 m'
_symmetry_Int_Tables_number 221
_symmetry_space_group_name_Hall '-P 4 2 3'
loop_
_atom_site_label
_atom_site_type_symbol
_atom_site_fract_x
_atom_site_fract_y
_atom_site_fract_z
Nb1 Nb 0.000 0.000 0.000
V1 V 0.000 0.500 0.500
Re1 Re 0.500 0.500 0.500
# Calculated volume: 18.8 Å³ per atom
# Theoretical density: 7.6 g/cm³


Least stable = x


## w
# NbV3Re GGA-PBE optimized geometry
data_NbV3Re
_chemical_formula_sum 'Nb1 V3 Re1'
_cell_length_a 4.470
_cell_length_b 4.470
_cell_length_c 4.470
_cell_angle_alpha 90.00
_cell_angle_beta 90.00
_cell_angle_gamma 90.00
_symmetry_space_group_name_H-M 'P m -3 m'
_symmetry_Int_Tables_number 221
_symmetry_space_group_name_Hall '-P 4 2 3'
loop_
_atom_site_label
_atom_site_type_symbol
_atom_site_fract_x
_atom_site_fract_y
_atom_site_fract_z
Nb1 Nb 0.000 0.000 0.000
V1 V 0.000 0.000 0.500
Re1 Re 0.500 0.500 0.500
# Calculated volume: 17.9 Å³ per atom
# Theoretical density: 8.0 g/cm³


## x
# NbV3Re GGA-PBE optimized geometry
data_NbV3Re
_chemical_formula_sum 'Nb8 V24 Re8'
_cell_length_a 12.210
_cell_length_b 9.807
_cell_length_c 5.131
_cell_angle_alpha 90.00
_cell_angle_beta 100.67
_cell_angle_gamma 90.00
_symmetry_space_group_name_H-M 'C 1 2/c 1'
_symmetry_Int_Tables_number 15
_symmetry_space_group_name_Hall '-C 2yc'
loop_
_atom_site_label
_atom_site_type_symbol
_atom_site_fract_x
_atom_site_fract_y
_atom_site_fract_z
Nb1 Nb 0.086 0.091 0.030
V1 V 0.143 0.194 0.555
V2 V 0.186 0.316 0.101
V3 V 0.203 0.441 0.627
Re1 Re 0.000 0.345 0.750
Re2 Re 0.000 0.379 0.250
# Calculated volume: 15.1 Å³ per atom
# Theoretical density: 9.5 g/cm³


Least stable = w


## w
# NbVRe3 GGA-PBE optimized geometry
data_NbVRe3
_chemical_formula_sum 'Nb1 V1 Re3'
_cell_length_a 4.460
_cell_length_b 4.460
_cell_length_c 4.460
_cell_angle_alpha 90.00
_cell_angle_beta 90.00
_cell_angle_gamma 90.00
_symmetry_space_group_name_H-M 'P m -3 m'
_symmetry_Int_Tables_number 221
_symmetry_space_group_name_Hall '-P 4 2 3'
loop_
_atom_site_label
_atom_site_type_symbol
_atom_site_fract_x
_atom_site_fract_y
_atom_site_fract_z
Nb1 Nb 0.000 0.000 0.000
V1 V 0.500 0.500 0.500
Re1 Re 0.000 0.500 0.500
# Calculated volume: 17.7 Å³ per atom
# Theoretical density: 13.1 g/cm³


## x
# NbVRe3 GGA-PBE optimized geometry
data_NbVRe3
_chemical_formula_sum 'Nb1 V1 Re3'
_cell_length_a 4.710
_cell_length_b 4.710
_cell_length_c 4.710
_cell_angle_alpha 90.00
_cell_angle_beta 90.00
_cell_angle_gamma 90.00
_symmetry_space_group_name_H-M 'P m -3 m'
_symmetry_Int_Tables_number 221
_symmetry_space_group_name_Hall '-P 4 2 3'
loop_
_atom_site_label
_atom_site_type_symbol
_atom_site_fract_x
_atom_site_fract_y
_atom_site_fract_z
Nb1 Nb 0.000 0.000 0.000
V1 V 0.500 0.500 0.500
Re1 Re 0.000 0.000 0.500
# Calculated volume: 20.9 Å³ per atom
# Theoretical density: 11.2 g/cm³


Least stable = x


## w
# Nb3VRe GGA-PBE optimized geometry
data_Nb3VRe
_chemical_formula_sum 'Nb6 V2 Re2'
_cell_length_a 4.991
_cell_length_b 5.336
_cell_length_c 7.397
_cell_angle_alpha 108.32
_cell_angle_beta 109.64
_cell_angle_gamma 90.05
_symmetry_space_group_name_H-M 'P -1'
_symmetry_Int_Tables_number 2
_symmetry_space_group_name_Hall '-P 1'
loop_
_atom_site_label
_atom_site_type_symbol
_atom_site_fract_x
_atom_site_fract_y
_atom_site_fract_z
Nb1 Nb 0.032 0.284 0.064
Nb2 Nb 0.397 0.875 0.794
Nb3 Nb 0.398 0.356 0.796
V1 V 0.192 0.948 0.384
Re1 Re 0.000 0.500 0.500
Re2 Re 0.500 0.500 0.500
# Calculated volume: 17.5 Å³ per atom
# Theoretical density: 9.8 g/cm³


## x
# Nb3VRe GGA-PBE optimized geometry
data_Nb3VRe
_chemical_formula_sum 'Nb3 V1 Re1'
_cell_length_a 4.564
_cell_length_b 4.564
_cell_length_c 4.564
_cell_angle_alpha 90.00
_cell_angle_beta 90.00
_cell_angle_gamma 90.00
_symmetry_space_group_name_H-M 'P m -3 m'
_symmetry_Int_Tables_number 221
_symmetry_space_group_name_Hall '-P 4 2 3'
loop_
_atom_site_label
_atom_site_type_symbol
_atom_site_fract_x
_atom_site_fract_y
_atom_site_fract_z
Nb1 Nb 0.000 0.000 0.500
V1 V 0.000 0.000 0.000
Re1 Re 0.500 0.500 0.500
# Calculated volume: 19.0 Å³ per atom
# Theoretical density: 9.0 g/cm³


Least stable = x


## w
# NbReW3 GGA-PBE optimized geometry
data_NbReW3
_chemical_formula_sum 'Nb1 Re1 W3'
_cell_length_a 4.721
_cell_length_b 4.721
_cell_length_c 4.721
_cell_angle_alpha 90.00
_cell_angle_beta 90.00
_cell_angle_gamma 90.00
_symmetry_space_group_name_H-M 'P m -3 m'
_symmetry_Int_Tables_number 221
_symmetry_space_group_name_Hall '-P 4 2 3'
loop_
_atom_site_label
_atom_site_type_symbol
_atom_site_fract_x
_atom_site_fract_y
_atom_site_fract_z
Nb1 Nb 0.000 0.000 0.000
Re1 Re 0.500 0.500 0.500
W1 W 0.000 0.500 0.500
# Calculated volume: 21.0 Å³ per atom
# Theoretical density: 13.1 g/cm³


## x
# NbReW3 GGA-PBE optimized geometry
data_NbReW3
_chemical_formula_sum 'Nb8 Re8 W24'
_cell_length_a 12.922
_cell_length_b 10.989
_cell_length_c 5.013
_cell_angle_alpha 90.00
_cell_angle_beta 110.00
_cell_angle_gamma 90.00
_symmetry_space_group_name_H-M 'C 1 2/c 1'
_symmetry_Int_Tables_number 15
_symmetry_space_group_name_Hall '-C 2yc'
loop_
_atom_site_label
_atom_site_type_symbol
_atom_site_fract_x
_atom_site_fract_y
_atom_site_fract_z
Nb1 Nb 0.000 0.077 0.250
Nb2 Nb 0.000 0.186 0.750
Re1 Re 0.099 0.427 0.945
W1 W 0.099 0.326 0.441
W2 W 0.205 0.068 0.651
W3 W 0.210 0.188 0.173
# Calculated volume: 16.7 Å³ per atom
# Theoretical density: 16.5 g/cm³


Least stable = w